Density functional theory data (PBE with a Hubbard U) for Co2AgPbF8 after structural relaxation.

Output
electronic total energy: -4.455 eV/atom
symmetry: P-3
M_tot: 7.0 Bohr magnetons per cell
N(E_F): 0.96 states/eV per atom

a = 5.916 Å, b = 5.916 Å, c = 7.459 Å
α = 90.00°, β = 90.00°, γ = 120.00°
Each line ends with the local moment (μB).
Positions (direct):
1 F 0.826 0.687 0.237  0.09
2 F 0.861 0.174 0.237  0.09
3 F 0.687 0.861 0.763  0.09
4 F 0.313 0.139 0.237  0.09
5 F 0.174 0.313 0.763  0.09
6 F 0.333 0.667 0.450  0.13
7 F 0.667 0.333 0.550  0.13
8 F 0.139 0.826 0.763  0.09
9 Co 0.333 0.667 0.698  2.92
10 Co 0.667 0.333 0.302  2.92
11 Pb 0.000 0.000 0.500  0.01
12 Ag 0.000 0.000 0.000  0.23

=====

Density functional theory data (PBE with a Hubbard U) for CoAg2PbF6 after structural relaxation.

Output
electronic total energy: -4.301 eV/atom
symmetry: P2_1/c
M_tot: 6.0 Bohr magnetons per cell
N(E_F): 0.00 states/eV per atom

a = 5.933 Å, b = 6.099 Å, c = 8.588 Å
α = 90.00°, β = 91.05°, γ = 90.00°
Each line ends with the local moment (μB).
Positions (direct):
1 F 0.280 0.675 0.069  0.03
2 F 0.338 0.715 0.432  0.03
3 F 0.624 0.053 0.276  0.03
4 F 0.838 0.785 0.932  0.03
5 F 0.780 0.825 0.569  0.03
6 F 0.662 0.285 0.568  0.03
7 F 0.124 0.447 0.776  0.03
8 F 0.876 0.553 0.224  0.03
9 F 0.162 0.215 0.068  0.03
10 F 0.376 0.947 0.724  0.03
11 F 0.720 0.325 0.931  0.03
12 F 0.220 0.175 0.431  0.03
13 Co 0.000 0.500 0.000  2.78
14 Co 0.500 0.000 0.500  2.78
15 Ag 0.520 0.564 0.748  0.00
16 Ag 0.020 0.936 0.248  0.00
17 Ag 0.980 0.064 0.752  0.00
18 Ag 0.480 0.436 0.252  0.00
19 Pb 0.500 0.000 0.000  0.01
20 Pb 0.000 0.500 0.500  0.01

=====

Density functional theory data (PBE with a Hubbard U) for CoAg2PbF8 after structural relaxation.

Output
electronic total energy: -4.092 eV/atom
symmetry: P-1
M_tot: 1.0 Bohr magnetons per cell
N(E_F): 0.31 states/eV per atom

a = 4.816 Å, b = 5.361 Å, c = 7.057 Å
α = 86.38°, β = 89.45°, γ = 92.70°
Each line ends with the local moment (μB).
Positions (direct):
1 Ag 0.462 0.482 0.767  0.29
2 Ag 0.538 0.518 0.233  0.29
3 F 0.578 0.734 0.516  0.09
4 F 0.870 0.209 0.798  0.01
5 F 0.685 0.781 0.995  0.06
6 F 0.846 0.190 0.187  0.02
7 F 0.315 0.219 0.005  0.06
8 F 0.154 0.810 0.813  0.02
9 F 0.422 0.266 0.484  0.09
10 F 0.130 0.791 0.202  0.01
11 Co 0.000 0.000 0.000  0.04
12 Pb 0.000 0.000 0.500  0.01

=====

Density functional theory data (PBE with a Hubbard U) for PmCoAgF6 after structural relaxation.

Output
electronic total energy: -5.353 eV/atom
symmetry: P4_2nm
M_tot: 6.1 Bohr magnetons per cell
N(E_F): 0.00 states/eV per atom

a = 5.261 Å, b = 5.261 Å, c = 10.486 Å
α = 90.00°, β = 90.00°, γ = 90.00°
Each line ends with the local moment (μB).
Positions (direct):
1 F 0.725 0.725 0.318  0.03
2 F 0.304 0.304 0.692  0.03
3 F 0.275 0.275 0.318  0.03
4 F 0.324 0.324 0.990  0.03
5 F 0.196 0.804 0.192  0.03
6 F 0.804 0.196 0.192  0.03
7 F 0.824 0.176 0.490  0.03
8 F 0.676 0.676 0.990  0.03
9 F 0.775 0.225 0.818  0.03
10 F 0.225 0.775 0.818  0.03
11 F 0.696 0.696 0.692  0.03
12 F 0.176 0.824 0.490  0.03
13 Co 0.500 0.500 0.833  2.79
14 Co 0.000 0.000 0.333  2.79
15 Pm 0.500 0.500 0.170  0.01
16 Pm 0.000 0.000 0.670  0.01
17 Ag 0.500 0.500 0.498  0.03
18 Ag 0.000 0.000 0.998  0.03

=====

Density functional theory data (PBE with a Hubbard U) for CoAgPtF6 after structural relaxation.

Output
electronic total energy: -4.047 eV/atom
symmetry: P-31c
M_tot: 4.0 Bohr magnetons per cell

a = 5.549 Å, b = 5.549 Å, c = 9.849 Å
α = 90.00°, β = 90.00°, γ = 120.00°
Each line ends with the local moment (μB).
Positions (direct):
1 F 0.046 0.660 0.356  0.06
2 F 0.660 0.614 0.644  0.06
3 F 0.660 0.046 0.856  0.06
4 F 0.614 0.660 0.144  0.06
5 F 0.954 0.614 0.856  0.06
6 F 0.340 0.954 0.144  0.06
7 F 0.386 0.046 0.644  0.06
8 F 0.614 0.954 0.356  0.06
9 F 0.954 0.340 0.644  0.06
10 F 0.340 0.386 0.356  0.06
11 F 0.386 0.340 0.856  0.06
12 F 0.046 0.386 0.144  0.06
13 Pt 0.333 0.667 0.750  1.44
14 Pt 0.667 0.333 0.250  1.44
15 Co 0.667 0.333 0.750  0.12
16 Co 0.333 0.667 0.250  0.12
17 Ag 0.000 0.000 0.500  0.01
18 Ag 0.000 0.000 0.000  0.01

=====

Density functional theory data (PBE with a Hubbard U) for PuCoAgF6 after structural relaxation.

Output
electronic total energy: -6.188 eV/atom
symmetry: P-31c
M_tot: 4.0 Bohr magnetons per cell
N(E_F): 0.73 states/eV per atom

a = 5.916 Å, b = 5.916 Å, c = 9.706 Å
α = 90.00°, β = 90.00°, γ = 120.00°
Each line ends with the local moment (μB).
Positions (direct):
1 F 0.029 0.653 0.363  0.04
2 F 0.347 0.376 0.363  0.04
3 F 0.376 0.029 0.637  0.04
4 F 0.029 0.376 0.137  0.04
5 F 0.971 0.624 0.863  0.04
6 F 0.971 0.347 0.637  0.04
7 F 0.624 0.653 0.137  0.04
8 F 0.653 0.624 0.637  0.04
9 F 0.653 0.029 0.863  0.04
10 F 0.376 0.347 0.863  0.04
11 F 0.347 0.971 0.137  0.04
12 F 0.624 0.971 0.363  0.04
13 Ag 0.000 0.000 0.500  0.01
14 Ag 0.000 0.000 0.000  0.01
15 Pu 0.333 0.667 0.750  -4.97
16 Pu 0.667 0.333 0.250  -4.97
17 Co 0.333 0.667 0.250  2.76
18 Co 0.667 0.333 0.750  2.76

=====

Density functional theory data (PBE with a Hubbard U) for Rb3CoAg3F8 after structural relaxation.

Output
electronic total energy: -3.968 eV/atom
symmetry: C2/m
M_tot: 3.0 Bohr magnetons per cell
N(E_F): 0.00 states/eV per atom

a = 7.305 Å, b = 7.285 Å, c = 7.592 Å
α = 118.90°, β = 90.00°, γ = 120.09°
Each line ends with the local moment (μB).
Positions (direct):
1 F 0.215 0.017 0.316  0.03
2 F 0.801 0.601 0.315  0.03
3 F 0.263 0.526 0.285  0.00
4 F 0.802 0.017 0.316  0.03
5 F 0.737 0.474 0.715  0.00
6 F 0.198 0.983 0.684  0.03
7 F 0.199 0.399 0.685  0.03
8 F 0.785 0.983 0.684  0.03
9 Co 0.000 0.000 0.500  2.78
10 Rb 0.000 0.000 0.000  0.00
11 Rb 0.500 0.500 0.000  0.00
12 Rb 0.000 0.500 0.000  0.00
13 Ag 0.000 0.500 0.500  0.00
14 Ag 0.500 0.500 0.500  0.00
15 Ag 0.500 0.000 0.500  0.00

=====

Density functional theory data (PBE with a Hubbard U) for Rb2CoAgF6 after structural relaxation.

Output
electronic total energy: -4.285 eV/atom
symmetry: I4/mmm
M_tot: 4.0 Bohr magnetons per cell
N(E_F): 0.00 states/eV per atom

a = 6.195 Å, b = 6.195 Å, c = 6.176 Å
α = 59.90°, β = 59.90°, γ = 90.00°
Each line ends with the local moment (μB).
Positions (direct):
1 Rb 0.250 0.750 0.500  0.00
2 Rb 0.750 0.250 0.500  0.00
3 Ag 0.000 0.000 0.000  0.10
4 F 0.726 0.274 0.000  0.09
5 F 0.726 0.726 0.000  0.09
6 F 0.274 0.274 0.000  0.09
7 F 0.718 0.718 0.564  0.13
8 F 0.274 0.726 0.000  0.09
9 F 0.282 0.282 0.436  0.13
10 Co 0.500 0.500 0.000  3.21

=====

Density functional theory data (PBE with a Hubbard U) for RbCoAg2F6 after structural relaxation.

Output
electronic total energy: -4.016 eV/atom
symmetry: P2_1/c
M_tot: 0.0 Bohr magnetons per cell
N(E_F): 0.00 states/eV per atom

a = 6.002 Å, b = 6.419 Å, c = 8.171 Å
α = 90.00°, β = 89.91°, γ = 90.00°
Positions (direct):
1 F 0.877 0.678 0.840
2 F 0.734 0.352 0.998
3 F 0.766 0.852 0.502
4 F 0.234 0.148 0.498
5 F 0.623 0.171 0.335
6 F 0.877 0.671 0.165
7 F 0.623 0.178 0.660
8 F 0.123 0.322 0.160
9 F 0.377 0.829 0.665
10 F 0.266 0.648 0.002
11 F 0.377 0.822 0.340
12 F 0.123 0.329 0.835
13 Ag 0.001 0.997 0.270
14 Ag 0.999 0.003 0.730
15 Ag 0.499 0.497 0.230
16 Ag 0.501 0.503 0.770
17 Co 0.500 0.000 0.500
18 Co 0.000 0.500 0.000
19 Rb 0.500 0.000 0.000
20 Rb 0.000 0.500 0.500

=====

Density functional theory data (PBE with a Hubbard U) for Rb3Co2AgF9 after structural relaxation.

Output
electronic total energy: -4.385 eV/atom
symmetry: P-3m1
M_tot: 7.0 Bohr magnetons per cell
N(E_F): 0.51 states/eV per atom

a = 6.051 Å, b = 6.051 Å, c = 7.512 Å
α = 90.00°, β = 90.00°, γ = 120.00°
Each line ends with the local moment (μB).
Positions (direct):
1 Co 0.333 0.667 0.152  3.02
2 Co 0.667 0.333 0.848  3.02
3 F 0.640 0.820 0.300  0.09
4 F 0.180 0.820 0.300  0.09
5 F 0.500 0.500 0.000  0.08
6 F 0.360 0.180 0.700  0.09
7 F 0.820 0.640 0.700  0.09
8 F 0.000 0.500 0.000  0.08
9 F 0.500 0.000 0.000  0.08
10 F 0.180 0.360 0.300  0.09
11 F 0.820 0.180 0.700  0.09
12 Rb 0.333 0.667 0.657  0.00
13 Rb 0.000 0.000 0.000  0.00
14 Rb 0.667 0.333 0.343  0.00
15 Ag 0.000 0.000 0.500  0.08

=====

Density functional theory data (PBE with a Hubbard U) for RbCoAgF4 after structural relaxation.

Output
electronic total energy: -4.264 eV/atom
symmetry: P2_1/m
M_tot: 6.0 Bohr magnetons per cell
N(E_F): 0.00 states/eV per atom

a = 5.766 Å, b = 6.031 Å, c = 8.384 Å
α = 89.99°, β = 118.67°, γ = 89.99°
Each line ends with the local moment (μB).
Positions (direct):
1 F 0.476 0.750 0.559  0.05
2 F 0.064 0.013 0.735  0.04
3 F 0.375 0.750 0.170  0.04
4 F 0.936 0.513 0.265  0.04
5 F 0.625 0.250 0.830  0.04
6 F 0.936 0.987 0.265  0.04
7 F 0.524 0.250 0.441  0.05
8 F 0.064 0.487 0.735  0.04
9 Co 0.807 0.250 0.689  2.73
10 Co 0.193 0.750 0.311  2.73
11 Ag 0.824 0.750 0.476  0.01
12 Ag 0.176 0.250 0.524  0.01
13 Rb 0.547 0.750 0.898  0.00
14 Rb 0.453 0.250 0.102  0.00

=====

Density functional theory data (PBE with a Hubbard U) for RbCoAgF6 after structural relaxation.

Output
electronic total energy: -4.074 eV/atom
symmetry: P1
M_tot: 1.0 Bohr magnetons per cell
N(E_F): 0.26 states/eV per atom

a = 5.567 Å, b = 5.571 Å, c = 5.882 Å
α = 89.74°, β = 90.26°, γ = 61.59°
Each line ends with the local moment (μB).
Positions (direct):
1 F 0.044 0.611 0.659  0.10
2 F 0.360 0.594 0.309  0.09
3 F 0.077 0.324 0.307  0.01
4 F 0.326 0.078 0.696  0.01
5 F 0.611 0.041 0.341  0.10
6 F 0.597 0.361 0.687  0.10
7 Co 0.332 0.332 0.500  0.08
8 Rb 0.993 0.994 0.000  0.00
9 Ag 0.661 0.664 0.500  0.52